DFT (GGA-PBE) results for an optimized crystal structure of Tb4MgRu2.

Computed properties:
The value obtained for the total energy is -5.710 eV/atom. The value obtained for the density of states at the Fermi level is 9.4 states/eV/cell. The formation energy is -0.19 eV/atom.

Structure (POSCAR):
```
Tb4MgRu2
1.0
6.791 0.000 0.000
0.385 6.982 0.000
2.945 0.401 7.458
Tb Mg Ru
8 2 4
direct
0.000 0.000 0.000
0.007 0.440 0.134
0.128 0.620 0.694
0.265 0.155 0.548
0.483 0.079 0.050
0.545 0.559 0.034
0.683 0.498 0.580
0.748 0.033 0.602
0.126 0.795 0.317
0.591 0.825 0.346
0.343 0.316 0.833
0.391 0.825 0.793
0.660 0.237 0.283
0.853 0.305 0.830
```

---

DFT (GGA-PBE) results for an optimized crystal structure of Al2V3Mo2.

Computed properties:
The value obtained for the total energy is -8.185 eV/atom. The value obtained for the density of states at the Fermi level is 18.2 states/eV/cell. The formation energy is -0.11 eV/atom.

Structure (POSCAR):
```
Al2V3Mo2
1.0
7.608 0.000 0.000
0.000 4.379 0.000
-2.515 0.000 6.163
Al V Mo
4 6 4
direct
0.071 0.000 0.214
0.429 0.500 0.786
0.571 0.500 0.214
0.929 0.000 0.786
0.000 0.500 0.500
0.150 0.500 0.949
0.350 0.000 0.051
0.500 0.000 0.500
0.650 0.000 0.949
0.850 0.500 0.051
0.214 0.000 0.644
0.286 0.500 0.356
0.714 0.500 0.644
0.786 0.000 0.356
```

---

DFT (GGA-PBE) results for an optimized crystal structure of Hf2ZrCo.

Computed properties:
The value obtained for the total energy is -8.879 eV/atom. The value obtained for the density of states at the Fermi level is 13.7 states/eV/cell. The formation energy is 0.01 eV/atom. The value obtained for the energy above the most stable polymorph in this dataset is 23.3 kJ per mole of atoms.

Structure (POSCAR):
```
Hf2ZrCo
1.0
3.265 0.000 0.000
-1.633 2.828 0.000
0.000 0.000 26.016
Hf Zr Co
6 3 3
direct
0.000 0.000 0.000
0.000 0.000 0.199
0.333 0.667 0.667
0.333 0.667 0.866
0.667 0.333 0.333
0.667 0.333 0.532
0.000 0.000 0.766
0.333 0.667 0.433
0.667 0.333 0.100
0.000 0.000 0.601
0.333 0.667 0.267
0.667 0.333 0.934
```